Crystalline InBiI3 at its relaxed geometry, computed with PBE.

Cell: 6.2647 6.2647 6.2647 Å, 90.00 90.00 90.00°
Closest atoms and distances in Å follow each position.
Space group Pm-3m (No. 221)
One atom of each set of equivalent atoms:
1 In 0.0000 0.0000 0.0000 (multiplicity 1)  12 I 4.43
2 Bi 0.5000 0.5000 0.5000 (multiplicity 1)  6 I 3.13
3 I 0.0000 0.5000 0.5000 (multiplicity 3)  2 Bi 3.13

Summary:
Total magnetization   0.0 μB/cell
Raw total energy   -2.468 eV per atom
Density of states at the Fermi level   2.17 states/eV/f.u.
Distance to the lowest polymorph of the same formula   81.4 kJ/mol of formula units